Compound: Cs2Na17Cd3
Source: the Alexandria database
Functional: PBE
Structure: optimized geometry

Lattice parameters (Å, degrees): 9.7808 9.7808 9.7808 83.87 83.87 83.87
Element x y z (fractional)
1 Cs 0.1597 0.1597 0.1597
2 Cs 0.8403 0.8403 0.8403
3 Na 0.0000 0.5000 0.5000
4 Na 0.1686 0.1686 0.6701
5 Na 0.1686 0.6701 0.1686
6 Na 0.2374 0.5000 0.7626
7 Na 0.2374 0.7626 0.5000
8 Na 0.3299 0.8314 0.8314
9 Na 0.4013 0.4013 0.4013
10 Na 0.5000 0.0000 0.5000
11 Na 0.5000 0.2374 0.7626
12 Na 0.5000 0.5000 0.0000
13 Na 0.5000 0.7626 0.2374
14 Na 0.5987 0.5987 0.5987
15 Na 0.6701 0.1686 0.1686
16 Na 0.7626 0.2374 0.5000
17 Na 0.7626 0.5000 0.2374
18 Na 0.8314 0.3299 0.8314
19 Na 0.8314 0.8314 0.3299
20 Cd 0.0000 0.0000 0.5000
21 Cd 0.0000 0.5000 0.0000
22 Cd 0.5000 0.0000 0.0000

- Formation enthalpy at 0 K: 0.847 eV/f.u.
- Calculated volume: 921 Å³ per cell
- Total energy: -1.183 eV per atom
- Symmetry: R-3m